{
  "formula": "Ho2Ga4CuRh3",
  "functional": "PBE",
  "state": "optimized geometry",
  "lattice": [[-3.931, 0.317, 0.317], [-0.387, -0.995, -3.809], [-0.647, -10.954, 2.926]],
  "species": ["Ga", "Ho", "Ga", "Rh", "Ga", "Rh", "Cu", "Ho", "Ga", "Rh"],
  "frac_coords": [[0.000, 0.500, 0.366], [0.500, 0.000, 0.239], [0.000, 0.000, 0.000], [0.000, 0.500, 0.145], [0.500, 0.500, 0.000], [0.000, 0.000, 0.500], [0.500, 0.500, 0.500], [0.000, 0.500, 0.761], [0.500, 0.000, 0.634], [0.500, 0.000, 0.855]],
  "delta_e_f_ev_per_fu": -6.86
}